[1]
{
  "formula": "LaTcPO",
  "functional": "GGA-PBE",
  "state": "relaxed",
  "lattice": [[3.0005, -3.0005, 0.0000], [3.0005, 3.0005, 0.0000], [0.0000, 0.0000, 9.0795]],
  "species": ["Tc", "Tc", "O", "O", "P", "P", "La", "La"],
  "frac_coords": [[0.2500, 0.2500, 0.9671], [0.7500, 0.7500, 0.0329], [0.7500, 0.2500, 0.0000], [0.2500, 0.7500, 0.0000], [0.7500, 0.7500, 0.2774], [0.2500, 0.2500, 0.7226], [0.2500, 0.7500, 0.5000], [0.7500, 0.2500, 0.5000]],
  "de_polymorph_ev_per_fu": 6.878
}

=====

[2]
{
  "formula": "HoReAs",
  "functional": "GGA-PBE",
  "state": "relaxed",
  "lattice": [[-2.2670, -3.4745, -1.6087], [-3.4173, -1.6840, 2.2991], [-4.1613, 0.5496, -1.4768]],
  "species": ["Ho", "Re", "As"],
  "frac_coords": [[0.2500, 0.2500, 0.2500], [0.7500, 0.7500, 0.7500], [0.0000, 0.0000, 0.0000]],
  "e_tot_ev_per_cell": -21.23
}

=====

[3]
{
  "formula": "YHoNi2B2C2",
  "functional": "GGA-PBE",
  "state": "relaxed",
  "lattice": [[3.5823, 0.0000, 0.0000], [0.0000, 3.5823, 0.0000], [0.0000, 0.0000, 7.5477]],
  "species": ["Ni", "Ni", "C", "C", "Ho", "Y", "B", "B"],
  "frac_coords": [[0.0000, 0.5000, 0.0005], [0.5000, 0.0000, 0.0005], [0.5000, 0.5000, 0.6550], [0.0000, 0.0000, 0.3436], [0.5000, 0.5000, 0.3346], [0.0000, 0.0000, 0.6657], [0.5000, 0.5000, 0.8531], [0.0000, 0.0000, 0.1469]],
  "e_tot_ev_per_cell": -58.20
}